Model A:
This record from Alexandria via LeMat-Bulk describes Ca2H2I after structural relaxation. The functional is GGA-PBE.

Cell lengths 7.029, 7.029, 7.029 Å; angles 147.37, 147.37, 46.81 degrees
Fractional positions:
1 Ca 0.160 0.160 0.000
2 Ca 0.840 0.840 0.000
3 H 0.250 0.750 0.500
4 H 0.750 0.250 0.500
5 I 0.500 0.500 0.000

Calculated volume (Å³/f.u.): 100.6

Model B:
This record from Alexandria via LeMat-Bulk describes Ca2H2I after structural relaxation. The functional is GGA-PBE.

Cell lengths 7.428, 7.428, 7.428 Å; angles 124.73, 124.73, 81.98 degrees
Fractional positions:
1 Ca 0.239 0.000 0.239
2 Ca 0.750 0.011 0.261
3 Ca 0.750 0.489 0.739
4 Ca 0.761 0.000 0.761
5 H 0.496 0.202 0.294
6 H 0.908 0.202 0.706
7 H 0.952 0.158 0.206
8 H 0.952 0.746 0.794
9 I 0.269 0.769 0.500
10 I 0.519 0.519 0.000

Calculated volume (Å³/f.u.): 133.1

The winner here is model A, beating the second structure by 206 meV/atom.